(1)
DFT (GGA-PBE) results for ZrAsI2 after structural relaxation.

SG: P1
Formation energy from raw total energies (eV/atom): -0.742

Unit cell a=3.8149 b=7.5408 c=11.4572 alpha=104.29 beta=95.08 gamma=96.49
Last column: nearest neighbours and their distance in Å.
Sites, in units of the cell vectors:
1 I 0.1736 0.3064 0.0586  2 Zr 2.91-2.95
2 I 0.6235 0.9248 0.6706  2 Zr 2.94-2.97
3 I 0.4582 0.4193 0.4647  2 Zr 2.96-2.98
4 I 0.7989 0.8562 0.2405  1 Zr 2.73
5 As 0.4922 0.4650 0.7784  1 As 2.51, 2 Zr 2.64-2.80
6 As 0.2582 0.7353 0.9080  1 As 2.51, 1 Zr 2.64
7 Zr 0.0567 0.6179 0.6538  2 As 2.64-2.83, 1 I 2.94
8 Zr 0.7205 0.5876 0.0274  3 As 2.64-2.84, 3 I 2.73-2.95


(2)
DFT (GGA-PBE) results for TlTeI2N after structural relaxation.

SG: P4/mmm
Formation energy from raw total energies (eV/atom): 1.053

Unit cell a=6.3201 b=6.3201 c=3.9955 alpha=90.00 beta=90.00 gamma=90.00
Last column: nearest neighbours and their distance in Å.
Sites, in units of the cell vectors:
1 I 0.0000 0.5000 0.0000  2 Tl 3.16
2 I 0.5000 0.0000 0.0000  2 Tl 3.16
3 Tl 0.0000 0.0000 0.0000  2 N 2.00
4 Te 0.5000 0.5000 0.5000  8 I 3.74, 2 Te 4.00
5 N 0.0000 0.0000 0.5000  2 Tl 2.00


(3)
DFT (GGA-PBE) results for TbThTlCd after structural relaxation.

SG: F-43m
E_form (eV/atom): -0.200

Unit cell a=5.4190 b=5.4190 c=5.4190 alpha=60.00 beta=60.00 gamma=60.00
Last column: nearest neighbours and their distance in Å.
Sites, in units of the cell vectors:
1 Tl 0.2500 0.2500 0.2500  4 Th 3.32, 4 Tb 3.32
2 Tb 0.5000 0.5000 0.5000  4 Cd 3.32, 4 Tl 3.32
3 Th 0.0000 0.0000 0.0000  4 Cd 3.32, 4 Tl 3.32
4 Cd 0.7500 0.7500 0.7500  4 Th 3.32, 4 Tb 3.32


(4)
DFT (GGA-PBE) results for Ag2PW after structural relaxation.

SG: I-42d
E_form (eV/atom): 0.747

Unit cell a=7.4726 b=7.4726 c=5.8372 alpha=50.20 beta=50.20 gamma=90.00
Last column: nearest neighbours and their distance in Å.
Sites, in units of the cell vectors:
1 P 0.5000 0.5000 0.0000  2 W 2.48, 4 Ag 2.52
2 P 0.2500 0.7500 0.5000  2 W 2.48, 4 Ag 2.52
3 Ag 0.5859 0.1250 0.2500  2 P 2.52, 2 Ag 2.55
4 Ag 0.1641 0.6250 0.2500  2 P 2.52, 2 Ag 2.55
5 Ag 0.3750 0.4141 0.7500  2 P 2.52, 2 Ag 2.55
6 Ag 0.8750 0.8359 0.7500  2 P 2.52, 2 Ag 2.55
7 W 0.0000 0.0000 0.0000  2 P 2.48
8 W 0.7500 0.2500 0.5000  2 P 2.48


(5)
DFT (GGA-PBE) results for TbHf2Ni9 after structural relaxation.

SG: R-3m
E_form (eV/atom): -0.454

Unit cell a=4.8804 b=4.8804 c=8.4061 alpha=73.12 beta=73.12 gamma=60.00
Last column: nearest neighbours and their distance in Å.
Sites, in units of the cell vectors:
1 Tb 0.0000 0.0000 0.0000  6 Ni 2.82
2 Hf 0.8599 0.8599 0.4203  12 Ni 2.76-2.90, 3 Hf 3.09
3 Hf 0.1401 0.1401 0.5797  12 Ni 2.76-2.90, 3 Hf 3.09
4 Ni 0.6663 0.6663 0.0012  6 Ni 2.48
5 Ni 0.3337 0.3337 0.9988  6 Ni 2.48
6 Ni 0.5000 0.5000 0.5000  6 Ni 2.39
7 Ni 0.4116 0.4116 0.2577  7 Ni 2.39-2.48
8 Ni 0.9191 0.4116 0.2577  7 Ni 2.39-2.48
9 Ni 0.4116 0.9191 0.2577  7 Ni 2.39-2.48
10 Ni 0.5884 0.5884 0.7423  7 Ni 2.39-2.48
11 Ni 0.5884 0.0809 0.7423  7 Ni 2.39-2.48
12 Ni 0.0809 0.5884 0.7423  7 Ni 2.39-2.48


(6)
DFT (GGA-PBE) results for LiB4C4 after structural relaxation.

SG: C2/m
E_form (eV/atom): 0.177

Unit cell a=6.9605 b=6.9605 c=9.3325 alpha=104.68 beta=104.68 gamma=22.34
Last column: nearest neighbours and their distance in Å.
Sites, in units of the cell vectors:
1 C 0.8213 0.8213 0.2647  3 B 1.59-1.60
2 C 0.6787 0.6787 0.9853  3 B 1.59-1.60
3 C 0.8707 0.8707 0.7805  3 B 1.54-1.57
4 C 0.6293 0.6293 0.4695  3 B 1.54-1.57
5 C 0.3209 0.3209 0.0059  3 B 1.57-1.58
6 C 0.1284 0.1284 0.7218  3 B 1.54-1.58
7 C 0.3716 0.3716 0.5282  3 B 1.54-1.58
8 C 0.1791 0.1791 0.2441  3 B 1.57-1.58
9 B 0.6896 0.6896 0.1603  3 C 1.58-1.60
10 B 0.8104 0.8104 0.0897  3 C 1.58-1.60
11 B 0.6266 0.6266 0.6336  3 C 1.54-1.58
12 B 0.8734 0.8734 0.6164  3 C 1.54-1.58
13 B 0.1652 0.1652 0.8926  3 C 1.54-1.59
14 B 0.3517 0.3517 0.8552  3 C 1.57
15 B 0.1483 0.1483 0.3948  3 C 1.57
16 B 0.3348 0.3348 0.3574  3 C 1.54-1.59
17 Li 0.5022 0.5022 0.7748  5 C 2.26-2.52, 4 B 2.36-2.40
18 Li 0.9978 0.9978 0.4752  5 C 2.26-2.52, 4 B 2.36-2.40


Going through the records in order, we get calculated volume values of 39.378, 31.919, 28.131, 17.313, 13.614, 9.222 Å³ per atom.
Going through the records in order, we get magnetic moment values of 0.0, 0.0, 0.0, 0.2, 0.0, 0.0 μB/f.u..